Density functional theory data (PBE) for crystalline TaHgAu at its relaxed geometry.

Cell: 3.0297 3.0297 7.2534 Å, 90.00 90.00 120.00°
Space group P3m1 (No. 156)
Unique sites:
Ta 0.0000 0.0000 0.0000 (multiplicity 1)
Hg 0.6667 0.3333 0.6560 (multiplicity 1)
Au 0.3333 0.6667 0.3101 (multiplicity 1)

- energy above the lowest structure with this stoichiometry (eV per atom) = 0.206
- crystal system = trigonal
- formation energy from the elements (eV/atom) = 0.208
- magnetic moment (μB per atom) = 0.000
- theoretical density (kg/m3) = 16661